Record 1
Entry from Alexandria via LeMat-Bulk: a relaxed structure of TaTl2Ru (PBE).

a = 3.2778 Å, b = 3.2776 Å, c = 7.1298 Å
α = 90.00°, β = 90.00°, γ = 90.00°
Closest atoms and distances in Å follow each position.
Sites, in units of the cell vectors:
Tl: 0.0000 0.0000 0.0197  4 Ru 2.84, 4 Ta 3.01
Tl: 0.0000 0.0000 0.4803  4 Ru 2.84, 4 Ta 3.01
Ru: 0.5000 0.5000 0.2500  8 Tl 2.84
Ta: 0.5000 0.5000 0.7500  8 Tl 3.01, 4 Ta 3.28

Properties
* crystal system: tetragonal
* ΔE_f: 0.69 eV/atom
* energy above the lowest structure with this stoichiometry: 0.490 eV/atom

=====

Record 2
Entry from Alexandria via LeMat-Bulk: a relaxed structure of Ca6SbPb5 (PBE).

a = 5.1104 Å, b = 9.0577 Å, c = 9.3407 Å
α = 61.00°, β = 74.16°, γ = 90.00°
Closest atoms and distances in Å follow each position.
Sites, in units of the cell vectors:
Ca: 0.5000 0.2321 0.0000  2 Sb 3.31, 6 Pb 3.48-3.52, 4 Ca 3.61
Ca: 0.1645 0.4041 0.6716  1 Sb 3.35, 7 Pb 3.35-3.48, 4 Ca 3.61-3.70
Ca: 0.8355 0.0757 0.3285  1 Sb 3.35, 7 Pb 3.35-3.48, 4 Ca 3.61-3.70
Ca: 0.1645 0.9243 0.6715  1 Sb 3.35, 7 Pb 3.35-3.48, 4 Ca 3.61-3.70
Ca: 0.8355 0.5959 0.3284  1 Sb 3.35, 7 Pb 3.35-3.48, 4 Ca 3.61-3.70
Ca: 0.5000 0.7679 0.0000  2 Sb 3.31, 6 Pb 3.48-3.52, 4 Ca 3.61
Pb: 0.3170 0.8180 0.3641  8 Ca 3.35-3.52, 2 Pb 3.54
Pb: 0.6604 0.6603 0.6793  8 Ca 3.47-3.48, 4 Pb 3.54-3.57
Pb: 0.3396 0.3397 0.3207  8 Ca 3.47-3.48, 4 Pb 3.54-3.57
Pb: 0.0000 0.5000 0.0000  8 Ca 3.47-3.52, 4 Pb 3.57
Pb: 0.6830 0.1820 0.6359  8 Ca 3.35-3.52, 2 Pb 3.54
Sb: 0.0000 0.0000 0.0000  8 Ca 3.31-3.35

Properties
* crystal system: orthorhombic
* raw formation energy: -0.58 eV/atom